1.
Crystalline Ca2LaZr at its relaxed geometry. Source: the Alexandria database, functional PBE.

Output
Energy of formation = 317.1 meV/atom
Fermi-level density of states = 5.780 states/eV/f.u.
Uncorrected energy = -16.2 eV per formula unit
E above lowest polymorph = 0.139 eV/atom

abc: 7.004 7.004 7.004
angles: 149.46 127.67 61.81
Positions (direct):
La 0.529 0.529 0.000
Ca 0.249 0.749 0.500
Ca 0.980 0.980 0.000
Zr 0.743 0.243 0.500

***

2.
Crystalline CaLa2Zr at its relaxed geometry. Source: the Alexandria database, functional PBE.

Output
Energy of formation = 238.6 meV/atom
Fermi-level density of states = 5.386 states/eV/f.u.
Uncorrected energy = -19.5 eV per formula unit
E above lowest polymorph = 0.117 eV/atom

abc: 4.735 5.241 5.241
angles: 90.00 90.00 90.00
Positions (direct):
Zr 0.500 0.500 0.000
La 0.000 0.500 0.500
La 0.000 0.000 0.000
Ca 0.500 0.000 0.500

***

3.
Crystalline Ca2LaZr at its relaxed geometry. Source: the Alexandria database, functional PBE.

Output
Energy of formation = 313.1 meV/atom
Fermi-level density of states = 6.093 states/eV/f.u.
Uncorrected energy = -16.2 eV per formula unit
E above lowest polymorph = 0.135 eV/atom

abc: 6.135 3.453 6.315
angles: 84.39 90.00 90.00
Positions (direct):
Zr 0.500 0.750 0.750
Ca 0.000 0.989 0.989
Ca 0.000 0.511 0.511
La 0.500 0.250 0.250

***

4.
Crystalline Ca2LaZr at its relaxed geometry. Source: the Alexandria database, functional PBE.

Output
Energy of formation = 344.0 meV/atom
Fermi-level density of states = 6.609 states/eV/f.u.
Uncorrected energy = -16.1 eV per formula unit
E above lowest polymorph = 0.166 eV/atom

abc: 6.492 6.492 3.431
angles: 90.00 90.00 115.30
Positions (direct):
La 0.500 0.000 0.500
Zr 0.000 0.500 0.500
Ca 0.500 0.500 0.000
Ca 0.000 0.000 0.000

***

5.
Crystalline CaLa2Zr at its relaxed geometry. Source: the Alexandria database, functional PBE.

Output
Energy of formation = 153.9 meV/atom
Fermi-level density of states = 5.379 states/eV/f.u.
Uncorrected energy = -19.8 eV per formula unit
E above lowest polymorph = 0.033 eV/atom

abc: 3.576 3.576 12.342
angles: 81.67 81.67 60.00
Positions (direct):
Zr 0.667 0.667 0.999
La 0.260 0.260 0.220
La 0.074 0.074 0.778
Ca 0.499 0.499 0.503

***

6.
Crystalline Ca2LaZr at its relaxed geometry. Source: the Alexandria database, functional PBE.

Output
Energy of formation = 273.8 meV/atom
Fermi-level density of states = 5.746 states/eV/f.u.
Uncorrected energy = -16.4 eV per formula unit
E above lowest polymorph = 0.096 eV/atom

abc: 6.103 6.103 6.502
angles: 79.99 79.99 34.03
Positions (direct):
Ca 0.750 0.750 0.757
Ca 0.991 0.991 0.003
La 0.512 0.512 0.457
Zr 0.248 0.248 0.283

***

7.
Crystalline Ca2LaZr at its relaxed geometry. Source: the Alexandria database, functional PBE.

Output
Energy of formation = 350.9 meV/atom
Fermi-level density of states = 7.757 states/eV/f.u.
Uncorrected energy = -16.1 eV per formula unit
E above lowest polymorph = 0.173 eV/atom

abc: 5.468 4.935 4.935
angles: 90.00 90.00 90.00
Positions (direct):
Ca 0.000 0.500 0.500
Ca 0.000 0.000 0.000
Zr 0.500 0.000 0.500
La 0.500 0.500 0.000

***

8.
Crystalline CaLa3Zr at its relaxed geometry. Source: the Alexandria database, functional PBE.

Output
Energy of formation = 352.9 meV/atom
Fermi-level density of states = 7.208 states/eV/f.u.
Uncorrected energy = -23.6 eV per formula unit
E above lowest polymorph = 0.000 eV/atom

abc: 5.873 5.873 5.873
angles: 90.00 90.00 90.00
Positions (direct):
Zr 0.000 0.000 0.000
La 0.500 0.000 0.000
La 0.000 0.000 0.500
La 0.000 0.500 0.000
Ca 0.500 0.500 0.500